Entry from the Alexandria database: a relaxed Tl2NiO2 crystal (PBE with a Hubbard U).

Computed properties:
Its energy above the most stable polymorph in this dataset is 303 meV per atom. The total energy is -35.936 eV per cell. Its crystal system is tetragonal. The volume comes out at 16.7 Å³/atom. The density of states at the Fermi level comes out at 1.14 states/eV/f.u. The space group is P4/mbm, No. 127.

```
10
Lattice="-5.600 2.295 -0.929 -2.406 -4.502 3.381 0.424 2.508 3.641" Properties=species:S:1:pos:R:3 pbc="T T T"
Ni 0.000 0.000 0.000
Ni -4.003 -1.104 1.226
Tl -2.334 -1.367 3.923
Tl -5.530 -0.960 4.014
Tl -5.248 1.668 2.171
Tl -2.052 1.261 2.079
O -3.360 -2.846 2.351
O -6.066 -1.523 1.756
O -4.646 0.638 0.101
O -1.939 -0.684 0.697
```